First-principles (PBE) data for crystalline LaNiRu2 at its relaxed geometry, as listed in Alexandria. Values from VASP.

Results
* total DFT energy (no corrections): -7.022 eV/atom
* energy of formation: 0.293 eV/atom
* calculated density: 9.65 Mg/m³

Geometry as Quantum ESPRESSO input:
```
&SYSTEM
  ibrav = 0, nat = 4, ntyp = 3
/
ATOMIC_SPECIES
La 138.91 La.upf
Ru 101.07 Ru.upf
Ni 58.69 Ni.upf
CELL_PARAMETERS angstrom
4.600 0.000 0.000
2.300 3.983 0.000
2.300 1.328 3.756
ATOMIC_POSITIONS crystal
La 0.500 0.500 0.500
Ru 0.000 0.000 0.000
Ru 0.250 0.250 0.250
Ni 0.750 0.750 0.750
```